First-principles (PBE+U) data for crystalline Cr3CoTe2P6O24 at its relaxed geometry, as listed in Alexandria via LeMat-Bulk.

Cell and atoms, written as POSCAR:
```
Cr3CoTe2P6O24
1.0
8.854 0.008 0.005
4.631 7.546 0.005
4.631 2.594 7.086
Cr P O Te Co
3 6 24 2 1
Direct
0.856 0.856 0.856
0.352 0.352 0.352
0.647 0.647 0.647
0.249 0.543 0.958
0.958 0.249 0.543
0.462 0.036 0.746
0.543 0.958 0.249
0.036 0.746 0.462
0.746 0.462 0.036
0.741 0.931 0.087
0.582 0.434 0.230
0.980 0.200 0.391
0.200 0.391 0.980
0.931 0.087 0.741
0.423 0.565 0.764
0.391 0.980 0.200
0.115 0.299 0.511
0.434 0.230 0.582
0.061 0.918 0.259
0.879 0.703 0.487
0.487 0.879 0.703
0.703 0.487 0.879
0.918 0.259 0.061
0.005 0.807 0.610
0.565 0.764 0.423
0.511 0.115 0.299
0.230 0.582 0.434
0.259 0.061 0.918
0.087 0.741 0.931
0.610 0.005 0.807
0.807 0.610 0.005
0.764 0.423 0.565
0.299 0.511 0.115
0.013 0.013 0.013
0.504 0.504 0.504
0.154 0.154 0.154
```

Values from the calculation:
Energy (eV for the cell shown): -250.74
Calculated volume (Å³/f.u.): 472.9
Calculated density (g/cm3): 3.65